Material: Sc3InHg4
Method: DFT, PBE
State: relaxed

a b c (Å): 4.821 4.821 7.605
angles (deg): 90.00 90.00 90.00
Space group P4/mmm (No. 123)
One atom of each set of equivalent atoms:
1 Sc 0.000 0.000 0.000 [1 per cell]
2 Sc 0.000 0.000 0.500 [1 per cell]
3 Sc 0.500 0.500 0.000 [1 per cell]
4 In 0.500 0.500 0.500 [1 per cell]
5 Hg 0.000 0.500 0.243 [4 per cell]

Output
Formation energy from the elements (meV/atom): -337